(1)
The following is a DFT calculation (PBE) of Sr3NdC2N6 after structural relaxation.

```
12
Lattice="5.7024 0.0000 0.0000 -2.8512 4.9385 0.0000 0.0000 0.0000 6.7045" Properties=species:S:1:pos:R:3 pbc="T T T"
Sr 0.0000 0.0000 0.0000
Sr 0.0000 3.2923 4.5537
Sr 2.8512 1.6461 2.1508
Nd 0.0000 0.0000 3.3523
C 0.0000 3.2923 1.7898
C 2.8512 1.6461 4.9148
N 0.0000 1.9259 1.8514
N -1.1833 3.9755 1.8514
N 1.6679 0.9629 4.8532
N 1.1833 3.9755 1.8514
N 4.0346 0.9629 4.8532
N 2.8512 3.0126 4.8532
```

Summary:
raw formation energy = -65.4 kJ/mol of atoms
space-group type = P-3m1, No. 164
crystal system = trigonal

---

(2)
The following is a DFT calculation (PBE) of PrDy2TlN after structural relaxation.

```
5
Lattice="4.8428 0.0000 0.0000 0.0000 4.8428 0.0000 0.0000 0.0000 5.0683" Properties=species:S:1:pos:R:3 pbc="T T T"
Pr 0.0000 0.0000 0.0000
Dy 0.0000 2.4214 2.5342
Dy 2.4214 0.0000 2.5342
Tl 2.4214 2.4214 0.0000
N 0.0000 0.0000 2.5342
```

Summary:
raw formation energy = -84.0 kJ/mol of atoms
space-group type = P4/mmm, No. 123
crystal system = tetragonal

---

(3)
The following is a DFT calculation (PBE) of Y4FeSb after structural relaxation.

```
12
Lattice="4.4135 -6.6083 0.0000 4.4135 6.6083 0.0000 -2.4116 0.0000 5.5606" Properties=species:S:1:pos:R:3 pbc="T T T"
Y 1.2027 4.4166 5.2040
Y 0.8994 0.9380 3.6179
Y 4.0070 4.4166 3.1370
Y 2.1052 -0.9380 0.8375
Y 4.3103 0.9380 4.7231
Y 2.4084 -4.4166 2.4236
Y 5.5160 -0.9380 1.9428
Y 5.2128 -4.4166 0.3567
Fe 3.8106 6.6045 1.3902
Fe 2.6048 -6.6045 4.1705
Sb 3.8106 1.6866 1.3902
Sb 2.6048 -1.6866 4.1705
```

Summary:
raw formation energy = -37.6 kJ/mol of atoms
ΔE to the lowest computed polymorph = 0.0000 eV per atom
space-group type = C2/c, No. 15
crystal system = monoclinic

---

(4)
The following is a DFT calculation (PBE) of Y2GaNi2Pt5 after structural relaxation.

```
20
Lattice="9.2459 0.0000 0.0000 0.0000 9.2459 0.0000 0.0000 0.0000 3.9240" Properties=species:S:1:pos:R:3 pbc="T T T"
Y 1.6080 3.0150 0.0000
Y 3.0150 7.6379 0.0000
Y 6.2310 1.6080 0.0000
Y 7.6379 6.2310 0.0000
Ga 0.0000 0.0000 0.0000
Ga 4.6230 4.6230 0.0000
Ni 1.1449 5.7678 0.0000
Ni 3.4781 1.1449 0.0000
Ni 5.7678 8.1010 0.0000
Ni 8.1010 3.4781 0.0000
Pt 0.0000 4.6230 1.9620
Pt 0.6396 7.3477 1.9620
Pt 1.8982 0.6396 1.9620
Pt 2.7248 5.2626 1.9620
Pt 3.9833 2.7248 1.9620
Pt 4.6230 0.0000 1.9620
Pt 5.2626 6.5211 1.9620
Pt 6.5211 3.9833 1.9620
Pt 7.3477 8.6063 1.9620
Pt 8.6063 1.8982 1.9620
```

Summary:
ΔH_f (0 K) = -832 meV/atom
space-group type = P4/mbm, No. 127
crystal system = tetragonal

---

(5)
The following is a DFT calculation (PBE) of LiCaSb2 after structural relaxation.

```
4
Lattice="3.4376 -4.3775 0.0000 3.4376 4.3775 0.0000 -0.0367 0.0000 3.4256" Properties=species:S:1:pos:R:3 pbc="T T T"
Li 0.0000 0.0000 0.0000
Ca 3.4376 0.0000 0.0000
Sb 1.7004 2.1888 1.7128
Sb 1.7004 -2.1888 1.7128
```

Summary:
raw formation energy = -57.0 kJ/mol of atoms
ΔE to the lowest computed polymorph = 0.0312 eV per atom
space-group type = C2/m, No. 12
crystal system = monoclinic

---

(6)
The following is a DFT calculation (PBE) of NaB3F12 after structural relaxation.

```
32
Lattice="4.5369 2.6194 6.9155 -4.5369 2.6194 6.9155 0.0000 -5.2388 6.9155" Properties=species:S:1:pos:R:3 pbc="T T T"
Na 0.0000 0.0000 0.0000
Na 0.0000 0.0000 10.3732
B -3.2268 -0.3382 8.6491
B -1.3101 -2.9576 12.1069
B 1.9063 -2.6254 8.6491
B -1.9063 2.6134 12.1069
B 1.3205 2.9636 8.6491
B 3.2164 0.3442 12.1069
F -3.6887 0.8528 8.0957
F -0.3959 -1.7633 4.2254
F -1.3483 -1.2063 6.1440
F -1.3291 1.2245 4.2254
F -2.5710 -2.7877 12.6721
F -1.9660 -0.1683 9.2144
F 1.1058 -3.6209 8.0957
F -0.8482 -1.7666 11.5535
F -0.3706 1.7708 6.1440
F 1.7250 0.5388 4.2254
F 1.7189 -0.5645 6.1440
F 1.1288 -1.6184 9.2144
F -1.1058 1.6179 11.5535
F -1.7250 0.5388 14.5987
F -1.7189 -0.5645 16.5172
F 0.3959 -1.7633 14.5987
F 0.8372 1.7868 9.2144
F -1.1288 3.6204 12.6721
F 1.9540 0.1487 11.5535
F 2.5829 2.7681 8.0957
F 1.3483 -1.2063 16.5173
F 1.3291 1.2245 14.5986
F 0.3706 1.7708 16.5173
F 3.6997 -0.8327 12.6721
```

Summary:
raw formation energy = -237.0 kJ/mol of atoms
space-group type = R3c, No. 161
crystal system = trigonal